# SmUTi2O8, optimized geometry, DFT PBE-GGA
# Mass density = 6.8 g/cm³
# E_form (uncorrected) = -3680 kJ/mol of formula units
# DFT total energy = -219.2 eV/cell
# Calculated volume = 12.42 Å³ per atom
data_SmUTi2O8
_space_group_name_H-M_alt 'I -4'
_space_group_IT_number 82
_space_group_name_Hall 'I -4'
_cell_length_a 5.1759
_cell_length_b 5.1759
_cell_length_c 11.1287
_cell_angle_alpha 90.00
_cell_angle_beta 90.00
_cell_angle_gamma 90.00
loop_
_atom_site_label
_atom_site_fract_x
_atom_site_fract_y
_atom_site_fract_z
Sm1 0.0000 0.0000 0.0000
U1 0.0000 0.5000 0.7500
Ti1 0.0000 0.0000 0.5000
Ti2 0.0000 0.5000 0.2500
O1 0.1622 0.2566 0.5889
O2 0.1792 0.7613 0.1709